[1]
# RbBaPb2

An optimized crystal structure of RbBaPb2 (GGA-PBE, the Alexandria database).

Cell lengths 4.4768, 4.4768, 8.6445 Å; angles 90.00, 90.00, 90.00 degrees
Last column: nearest neighbours and their distance in Å.
Fractional positions:
Rb1 0.0000 0.0000 0.0000  8 Pb 4.04, 2 Ba 4.32, 4 Rb 4.48
Ba1 0.0000 0.0000 0.5000  8 Pb 3.65
Pb1 0.5000 0.5000 0.2896  1 Pb 3.64, 4 Ba 3.65, 4 Rb 4.04
Pb2 0.5000 0.5000 0.7104  1 Pb 3.64, 4 Ba 3.65, 4 Rb 4.04

- Crystal system: tetragonal
- SG: P4/mmm, No. 123
- Spin magnetization: 0.00 μB per formula unit
- E_form: -234 meV/atom
- Excess energy over the best structure of this formula in the dataset: 0 meV/atom


[2]
# RbBaPb2

An optimized crystal structure of RbBaPb2 (GGA-PBE, the Alexandria database).

Cell lengths 5.3493, 5.3493, 5.4009 Å; angles 90.00, 90.00, 90.00 degrees
Last column: nearest neighbours and their distance in Å.
Fractional positions:
Rb1 0.0000 0.0000 0.0000  4 Ba 3.78, 8 Pb 3.80
Ba1 0.5000 0.5000 0.0000  4 Rb 3.78, 8 Pb 3.80
Pb1 0.0000 0.5000 0.5000  4 Pb 3.78, 4 Ba 3.80, 4 Rb 3.80
Pb2 0.5000 0.0000 0.5000  4 Pb 3.78, 4 Ba 3.80, 4 Rb 3.80

- Crystal system: tetragonal
- SG: P4/mmm, No. 123
- Spin magnetization: 0.00 μB per formula unit
- E_form: -216 meV/atom
- Excess energy over the best structure of this formula in the dataset: 18 meV/atom


[3]
# Rb2BaPb2S4

An optimized crystal structure of Rb2BaPb2S4 (GGA-PBE, the Alexandria database).

Cell lengths 9.6816, 9.6816, 8.5255 Å; angles 115.02, 115.02, 25.79 degrees
Last column: nearest neighbours and their distance in Å.
Fractional positions:
Rb1 0.1146 0.1146 0.0463  3 S 3.36-3.57
Rb2 0.8854 0.8854 0.9537  3 S 3.36-3.57
Ba1 0.0000 0.0000 0.5000  6 S 3.14-3.19
Pb1 0.3131 0.3131 0.4559  3 S 2.64-2.76
Pb2 0.6869 0.6869 0.5441  3 S 2.64-2.76
S1 0.1815 0.1815 0.7403  2 Pb 2.76
S2 0.4552 0.4552 0.7179  1 Pb 2.64
S3 0.5448 0.5448 0.2821  1 Pb 2.64
S4 0.8185 0.8185 0.2597  2 Pb 2.76

- Crystal system: monoclinic
- SG: C2/m, No. 12
- Spin magnetization: 0.00 μB per formula unit
- Uncorrected formation energy: -100.0 kJ/mol of atoms


[4]
# Rb2BaSb2Pb

An optimized crystal structure of Rb2BaSb2Pb (GGA-PBE, the Alexandria database).

Cell lengths 5.0130, 10.4178, 9.6903 Å; angles 90.00, 90.00, 90.00 degrees
Last column: nearest neighbours and their distance in Å.
Fractional positions:
Rb1 0.0000 0.0859 0.0000  5 Sb 3.76-4.14, 1 Pb 4.11, 4 Rb 4.13-4.18
Rb2 0.0000 0.9141 0.5000  5 Sb 3.76-4.14, 1 Pb 4.11, 4 Rb 4.13-4.18
Rb3 0.5000 0.1884 0.3207  4 Sb 3.71-3.89, 2 Pb 3.80, 1 Ba 4.00, 2 Rb 4.13
Rb4 0.5000 0.8116 0.8207  4 Sb 3.71-3.89, 2 Pb 3.80, 1 Ba 4.00, 2 Rb 4.13
Ba1 0.5000 0.4363 0.9086  5 Sb 3.45-3.72
Ba2 0.5000 0.5637 0.4086  5 Sb 3.45-3.72
Sb1 0.0000 0.4244 0.1925  1 Pb 3.04
Sb2 0.0000 0.5756 0.6925  1 Pb 3.04
Sb3 0.5000 0.1549 0.7204  2 Pb 3.19, 1 Ba 3.45
Sb4 0.5000 0.8451 0.2204  2 Pb 3.19, 1 Ba 3.45
Pb1 0.0000 0.2998 0.5900  3 Sb 3.04-3.19
Pb2 0.0000 0.7002 0.0900  3 Sb 3.04-3.19

- Crystal system: orthorhombic
- SG: Pmc2_1, No. 26
- Spin magnetization: 0.00 μB per formula unit
- Uncorrected formation energy: -54.2 kJ/mol of atoms


[5]
# RbBa2PbSe4

An optimized crystal structure of RbBa2PbSe4 (GGA-PBE, the Alexandria database).

Cell lengths 9.3283, 9.3283, 9.3283 Å; angles 120.11, 119.83, 90.06 degrees
Last column: nearest neighbours and their distance in Å.
Fractional positions:
Rb1 0.5000 0.0000 0.0000  6 Se 3.36-3.38
Rb2 0.5000 0.5000 0.5000  6 Se 3.36-3.38
Ba1 0.0000 0.0000 0.0000  6 Se 3.37-3.40
Ba2 0.0000 0.0000 0.5000  6 Se 3.22-3.24
Ba3 0.0000 0.5000 0.0000  6 Se 3.22-3.24
Ba4 0.5000 0.0000 0.5000  6 Se 3.37-3.40
Pb1 0.0000 0.5000 0.5000  6 Se 3.20-3.23
Pb2 0.5000 0.5000 0.0000  6 Se 3.20-3.23
Se1 0.2305 0.7423 0.4882  1 Pb 3.20, 3 Ba 3.22-3.40, 2 Rb 3.38
Se2 0.2454 0.2561 0.5106  2 Pb 3.23, 3 Ba 3.24-3.37, 1 Rb 3.36
Se3 0.2454 0.7348 0.9894  2 Pb 3.23, 3 Ba 3.24-3.37, 1 Rb 3.36
Se4 0.2459 0.2577 0.9882  1 Pb 3.20, 3 Ba 3.22-3.40, 2 Rb 3.38
Se5 0.7541 0.7423 0.0118  1 Pb 3.20, 3 Ba 3.22-3.40, 2 Rb 3.38
Se6 0.7546 0.2652 0.0106  2 Pb 3.23, 3 Ba 3.24-3.37, 1 Rb 3.36
Se7 0.7546 0.7439 0.4894  2 Pb 3.23, 3 Ba 3.24-3.37, 1 Rb 3.36
Se8 0.7695 0.2577 0.5118  1 Pb 3.20, 3 Ba 3.22-3.40, 2 Rb 3.38

- Crystal system: orthorhombic
- SG: Imma, No. 74
- Spin magnetization: 0.44 μB per formula unit
- Uncorrected formation energy: -121.2 kJ/mol of atoms


[6]
# RbBaTlPb

An optimized crystal structure of RbBaTlPb (GGA-PBE, the Alexandria database).

Cell lengths 6.1357, 6.1357, 6.1357 Å; angles 60.00, 60.00, 60.00 degrees
Last column: nearest neighbours and their distance in Å.
Fractional positions:
Rb1 0.0000 0.0000 0.0000  4 Tl 3.76, 4 Pb 3.76
Ba1 0.5000 0.5000 0.5000  4 Tl 3.76, 4 Pb 3.76
Tl1 0.7500 0.7500 0.7500  4 Ba 3.76, 4 Rb 3.76
Pb1 0.2500 0.2500 0.2500  4 Ba 3.76, 4 Rb 3.76

- Crystal system: cubic
- SG: F-43m, No. 216
- Spin magnetization: 0.00 μB per formula unit
- E_form: -221 meV/atom


[7]
# RbBa2Tl2Pb2

An optimized crystal structure of RbBa2Tl2Pb2 (GGA-PBE, the Alexandria database).

Cell lengths 11.1674, 11.1674, 11.1674 Å; angles 29.45, 29.45, 29.45 degrees
Last column: nearest neighbours and their distance in Å.
Fractional positions:
Rb1 0.0000 0.0000 0.0000  6 Tl 3.96
Ba1 0.1393 0.1393 0.1393  3 Pb 3.46, 3 Ba 3.72
Ba2 0.8607 0.8607 0.8607  3 Pb 3.46, 3 Ba 3.72
Tl1 0.2640 0.2640 0.2640  3 Pb 3.47
Tl2 0.7360 0.7360 0.7360  3 Pb 3.47
Pb1 0.4383 0.4383 0.4383  3 Ba 3.46, 3 Tl 3.47
Pb2 0.5617 0.5617 0.5617  3 Ba 3.46, 3 Tl 3.47

- Crystal system: trigonal
- SG: R-3m, No. 166
- Spin magnetization: 0.00 μB per formula unit
- E_form: -239 meV/atom


[8]
# RbBaPb2W

An optimized crystal structure of RbBaPb2W (GGA-PBE, the Alexandria database).

Cell lengths 5.5248, 5.5248, 5.9182 Å; angles 90.00, 90.00, 90.00 degrees
Last column: nearest neighbours and their distance in Å.
Fractional positions:
Rb1 0.0000 0.0000 0.0000  2 W 2.96
Ba1 0.5000 0.5000 0.0000  4 Rb 3.91, 8 Pb 4.05
Pb1 0.0000 0.5000 0.5000  2 W 2.76
Pb2 0.5000 0.0000 0.5000  2 W 2.76
W1 0.0000 0.0000 0.5000  4 Pb 2.76, 2 Rb 2.96

- Crystal system: tetragonal
- SG: P4/mmm, No. 123
- Spin magnetization: 0.00 μB per formula unit
- E_form: 660 meV/atom